# 1
Here is a relaxed structure of Ta2PAu from Alexandria. Energies are from PBE.

a b c (Å): 2.945 2.945 8.391
angles (deg): 90.00 90.00 104.98
Sites, in units of the cell vectors:
Ta 0.000 0.000 0.000
Ta 0.500 0.500 0.262
P 0.500 0.500 0.790
Au 0.000 0.000 0.516

Summary:
Magnetization ... 0.0 μB/f.u.
ΔE_f ... -0.09 eV per atom
Space group ... No. 35

***

# 2
Here is a relaxed structure of SrSn2Pt3 from Alexandria. Energies are from PBE.

a b c (Å): 8.890 8.890 11.146
angles (deg): 106.02 106.02 28.14
Sites, in units of the cell vectors:
Sr 0.000 0.000 0.000
Sr 0.151 0.151 0.700
Sr 0.849 0.849 0.300
Sn 0.208 0.208 0.096
Sn 0.339 0.339 0.544
Sn 0.492 0.492 0.241
Sn 0.508 0.508 0.759
Sn 0.661 0.661 0.456
Sn 0.792 0.792 0.904
Pt 0.052 0.052 0.386
Pt 0.210 0.210 0.343
Pt 0.355 0.355 0.059
Pt 0.364 0.364 0.813
Pt 0.500 0.500 0.500
Pt 0.636 0.636 0.187
Pt 0.645 0.645 0.941
Pt 0.790 0.790 0.657
Pt 0.948 0.948 0.614

Summary:
Magnetization ... 0.0 μB/f.u.
ΔE_f ... -0.69 eV per atom
Space group ... No. 12

***

> The highest ΔE_f belongs to which entry?

Ta2PAu

***

> What is the magnetization in the second record?

0.0 μB/f.u.

***

> magnetization of number 1 (Ta2PAu)?

0.0 μB/f.u.